Run 1
A relaxed Pu2ScSe3 crystal. Source: the Alexandria database, functional PBE.

Calculated values
volume	142.4	Å³/f.u.

The structure in extended XYZ format:
```
12
Lattice="-2.299 -3.274 0.147 1.657 1.128 -3.465 16.520 -11.413 4.184" Properties=species:S:1:pos:R:3 pbc="T T T"
Pu 15.417 -10.757 1.558
Pu 0.461 -2.802 -0.692
Pu 5.838 -6.518 0.670
Pu 10.040 -7.041 0.196
Se 0.000 0.000 0.000
Se 12.707 -11.263 2.410
Se 3.171 -2.296 -1.544
Se 5.766 -4.089 -0.887
Se 8.260 -5.707 2.092
Se 10.112 -9.470 1.753
Sc 4.130 -2.853 1.046
Sc 12.390 -8.560 3.138
```

***

Run 2
A relaxed Pu2ScSe3 crystal. Source: the Alexandria database, functional PBE.

Calculated values
volume	141.8	Å³/f.u.

The structure in extended XYZ format:
```
6
Lattice="4.045 0.000 0.000 0.000 5.768 0.000 -2.022 -2.884 6.077" Properties=species:S:1:pos:R:3 pbc="T T T"
Se 3.033 1.442 1.133
Se 1.011 -1.442 3.039
Se -1.011 1.442 4.944
Pu 3.033 4.326 0.982
Pu -1.011 -1.442 5.096
Sc 1.011 1.442 3.039
```

***

Most stable: run 2. Least stable: run 1.